A | Cu2TcBr2 | GGA-PBE | optimized geometry

Summary:
The value obtained for the total magnetization is 0.661 μB/atom.

The structure in CIF format:
```
data_Cu2TcBr2
_space_group_name_H-M_alt 'I 4/m m m'
_space_group_IT_number 139
_space_group_name_Hall '-I 4 2'
_cell_length_a 5.098
_cell_length_b 5.098
_cell_length_c 7.719
_cell_angle_alpha 90.00
_cell_angle_beta 90.00
_cell_angle_gamma 90.00
loop_
_atom_site_label
_atom_site_type_symbol
_atom_site_fract_x
_atom_site_fract_y
_atom_site_fract_z
Cu1 Cu 0.000 0.000 0.156
Tc1 Tc 0.000 0.000 0.500
Br1 Br 0.000 0.500 0.250
```

---

B | Cu2TcBr2 | GGA-PBE | optimized geometry

Summary:
The value obtained for the total magnetization is 0.641 μB/atom.

The structure in CIF format:
```
data_Cu2TcBr2
_space_group_name_H-M_alt 'P 4/m b m'
_space_group_IT_number 127
_space_group_name_Hall '-P 4 2ab'
_cell_length_a 7.017
_cell_length_b 7.017
_cell_length_c 3.732
_cell_angle_alpha 90.00
_cell_angle_beta 90.00
_cell_angle_gamma 90.00
loop_
_atom_site_label
_atom_site_type_symbol
_atom_site_fract_x
_atom_site_fract_y
_atom_site_fract_z
Cu1 Cu 0.132 0.368 0.000
Tc1 Tc 0.000 0.000 0.000
Br1 Br 0.180 0.680 0.500
```

---

Stability check: which of them is least stable? A.

---

A | Cu2TeBr | GGA-PBE | optimized geometry

Summary:
The value obtained for the total magnetization is 0.000 μB/atom.

The structure in CIF format:
```
data_Cu2TeBr
_space_group_name_H-M_alt 'P 1 m 1'
_space_group_IT_number 6
_cell_length_a 6.857
_cell_length_b 3.712
_cell_length_c 7.348
_cell_angle_alpha 90.00
_cell_angle_beta 93.46
_cell_angle_gamma 90.00
loop_
_space_group_symop_operation_xyz
'x,y,z'
'x,-y,z'
loop_
_atom_site_label
_atom_site_type_symbol
_atom_site_fract_x
_atom_site_fract_y
_atom_site_fract_z
Cu1 Cu 0.000 0.000 0.000
Cu2 Cu 0.032 0.500 0.495
Cu3 Cu 0.403 0.500 0.890
Cu4 Cu 0.436 0.000 0.391
Te1 Te 0.215 0.000 0.697
Te2 Te 0.220 0.500 0.196
Br1 Br 0.680 0.500 0.453
Br2 Br 0.753 0.500 0.953
```

---

B | Cu2TeBr | GGA-PBE | optimized geometry

Summary:
The value obtained for the total magnetization is 0.000 μB/atom.

The structure in CIF format:
```
data_Cu2TeBr
_space_group_name_H-M_alt 'I -4 2 d'
_space_group_IT_number 122
_space_group_name_Hall 'I -4 2bw'
_cell_length_a 5.864
_cell_length_b 5.864
_cell_length_c 11.628
_cell_angle_alpha 90.00
_cell_angle_beta 90.00
_cell_angle_gamma 90.00
loop_
_atom_site_label
_atom_site_type_symbol
_atom_site_fract_x
_atom_site_fract_y
_atom_site_fract_z
Cu1 Cu 0.248 0.250 0.125
Te1 Te 0.000 0.000 0.000
Br1 Br 0.000 0.000 0.500
```

---

Stability check: which of them is least stable? A.

---

A | Cu2TeBr | GGA-PBE | optimized geometry

Summary:
The value obtained for the total magnetization is 0.000 μB/atom.

The structure in CIF format:
```
data_Cu2TeBr
_space_group_name_H-M_alt 'C m m m'
_space_group_IT_number 65
_space_group_name_Hall '-C 2 2'
_cell_length_a 3.606
_cell_length_b 7.076
_cell_length_c 7.512
_cell_angle_alpha 90.00
_cell_angle_beta 90.00
_cell_angle_gamma 90.00
loop_
_atom_site_label
_atom_site_type_symbol
_atom_site_fract_x
_atom_site_fract_y
_atom_site_fract_z
Cu1 Cu 0.000 0.000 0.249
Te1 Te 0.000 0.500 0.500
Br1 Br 0.000 0.500 0.000
```

---

B | Cu2TeBr | GGA-PBE | optimized geometry

Summary:
The value obtained for the total magnetization is 0.000 μB/atom.

The structure in CIF format:
```
data_Cu2TeBr
_space_group_name_H-M_alt 'P 4/m m m'
_space_group_IT_number 123
_space_group_name_Hall '-P 4 2'
_cell_length_a 5.003
_cell_length_b 5.003
_cell_length_c 3.203
_cell_angle_alpha 90.00
_cell_angle_beta 90.00
_cell_angle_gamma 90.00
loop_
_atom_site_label
_atom_site_type_symbol
_atom_site_fract_x
_atom_site_fract_y
_atom_site_fract_z
Cu1 Cu 0.000 0.500 0.000
Te1 Te 0.000 0.000 0.500
Br1 Br 0.500 0.500 0.500
```

---

Stability check: which of them is least stable? B.